No. 1
Material: SrAs2PSe
Method: DFT, PBE
State: relaxed

Output
ΔE to the lowest computed polymorph = 0.0 meV/atom
N(E_F) = 3.76 states/eV/cell

Cell: 4.8374 4.8374 5.1931 Å, 90.00 90.00 90.00°
Fractional coordinates of all 5 atoms:
Sr: 0.5000 0.5000 0.5000
As: 0.0000 0.5000 0.0000
As: 0.5000 0.0000 0.0000
Se: 0.0000 0.0000 0.5000
P: 0.0000 0.0000 0.0000


No. 2
Material: TaAsPSe2
Method: DFT, PBE
State: relaxed

Output
ΔE to the lowest computed polymorph = 0.0 meV/atom
N(E_F) = 4.00 states/eV/cell

Cell: 4.9472 4.9472 5.1923 Å, 90.00 90.00 90.00°
Fractional coordinates of all 5 atoms:
P: 0.5000 0.5000 0.5000
As: 0.0000 0.0000 0.5000
Se: 0.0000 0.5000 0.0000
Se: 0.5000 0.0000 0.0000
Ta: 0.0000 0.0000 0.0000


No. 3
Material: TaAsPSe2
Method: DFT, PBE
State: relaxed

Output
ΔE to the lowest computed polymorph = 349.9 meV/atom
N(E_F) = 4.97 states/eV/cell

Cell: 4.7076 4.7076 4.5779 Å, 90.00 90.00 90.00°
Fractional coordinates of all 5 atoms:
P: 0.0000 0.0000 0.0000
As: 0.0000 0.0000 0.5000
Se: 0.0000 0.5000 0.0000
Se: 0.5000 0.0000 0.0000
Ta: 0.5000 0.5000 0.5000


No. 4
Material: Tb8As3PSe4
Method: DFT, PBE
State: relaxed

Output
total DFT energy (no corrections) = -6.1345 eV/atom
N(E_F) = 5.88 states/eV/cell

Cell: 8.1970 8.2428 8.1977 Å, 119.81 120.00 90.00°
Fractional coordinates of all 16 atoms:
Tb: 0.2421 0.7345 0.9924
Tb: 0.2420 0.7345 0.4841
Tb: 0.2539 0.2618 0.5079
Tb: 0.7504 0.7345 0.9924
Tb: 0.2496 0.2655 0.0076
Tb: 0.7461 0.7382 0.4921
Tb: 0.7580 0.2655 0.5159
Tb: 0.7579 0.2655 0.0076
As: 0.5000 0.5000 0.0000
As: 0.5000 0.5000 0.5000
As: 0.0000 0.5000 0.5000
P: 0.0000 0.5000 0.0000
Se: 0.5000 0.0000 0.0000
Se: 0.5000 0.0000 0.5000
Se: 0.0000 0.0000 0.0000
Se: 0.0000 0.0000 0.5000


No. 5
Material: Tb4AsPSe2
Method: DFT, PBE
State: relaxed

Output
total DFT energy (no corrections) = -6.1978 eV/atom
N(E_F) = 3.29 states/eV/cell

Cell: 4.0785 7.1441 7.0686 Å, 70.72 90.00 90.00°
Fractional coordinates of all 8 atoms:
Tb: 0.0000 0.7345 0.7497
Tb: 0.0000 0.2655 0.2503
Tb: 0.5000 0.7309 0.2618
Tb: 0.5000 0.2691 0.7382
As: 0.5000 0.5000 0.0000
P: 0.0000 0.5000 0.5000
Se: 0.0000 0.0000 0.0000
Se: 0.5000 0.0000 0.5000


No. 6
Material: Tb4As2PSe
Method: DFT, PBE
State: relaxed

Output
total DFT energy (no corrections) = -6.2646 eV/atom
N(E_F) = 1.31 states/eV/cell

Cell: 4.1007 7.0906 7.1101 Å, 70.63 90.00 90.00°
Fractional coordinates of all 8 atoms:
Tb: 0.0000 0.7536 0.7409
Tb: 0.0000 0.2464 0.2591
Tb: 0.5000 0.7476 0.2577
Tb: 0.5000 0.2524 0.7423
As: 0.0000 0.0000 0.0000
As: 0.5000 0.0000 0.5000
P: 0.0000 0.5000 0.5000
Se: 0.5000 0.5000 0.0000


No. 7
Material: Tb6As3P2Se
Method: DFT, PBE
State: relaxed

Output
total DFT energy (no corrections) = -6.3178 eV/atom
N(E_F) = 1.89 states/eV/cell

Cell: 4.0944 8.2008 9.1471 Å, 102.80 102.93 90.00°
Fractional coordinates of all 12 atoms:
Tb: 0.3301 0.9093 0.6602
Tb: 0.6688 0.5793 0.3376
Tb: 0.6699 0.0907 0.3398
Tb: 0.0025 0.2584 0.0050
Tb: 0.9975 0.7416 0.9950
Tb: 0.3312 0.4207 0.6624
As: 0.5000 0.5000 0.0000
As: 0.8353 0.1665 0.6706
As: 0.1647 0.8335 0.3294
P: 0.8335 0.6674 0.6669
P: 0.1665 0.3326 0.3331
Se: 0.5000 0.0000 0.0000


No. 8
Material: Tb6As2PSe3
Method: DFT, PBE
State: relaxed

Output
total DFT energy (no corrections) = -6.1574 eV/atom
N(E_F) = 4.30 states/eV/cell

Cell: 4.0910 8.2356 9.2035 Å, 103.45 102.84 90.00°
Fractional coordinates of all 12 atoms:
Tb: 0.3402 0.9141 0.6803
Tb: 0.6683 0.5763 0.3367
Tb: 0.6598 0.0859 0.3197
Tb: 0.0018 0.2340 0.0037
Tb: 0.9982 0.7660 0.9963
Tb: 0.3317 0.4237 0.6633
As: 0.8333 0.6671 0.6666
As: 0.1667 0.3329 0.3335
P: 0.5000 0.0000 0.0000
Se: 0.5000 0.5000 0.0000
Se: 0.8321 0.1667 0.6643
Se: 0.1679 0.8333 0.3357


No. 9
Material: Tb8AsP3Se4
Method: DFT, PBE
State: relaxed

Output
total DFT energy (no corrections) = -6.2651 eV/atom
N(E_F) = 5.31 states/eV/cell

Cell: 8.1205 8.2059 8.1206 Å, 119.66 120.00 90.00°
Fractional coordinates of all 16 atoms:
Tb: 0.2465 0.7317 0.9852
Tb: 0.2465 0.7317 0.4930
Tb: 0.2572 0.2716 0.5144
Tb: 0.7387 0.7317 0.9852
Tb: 0.2613 0.2683 0.0148
Tb: 0.7428 0.7284 0.4856
Tb: 0.7535 0.2683 0.5070
Tb: 0.7535 0.2683 0.0148
As: 0.0000 0.5000 0.0000
P: 0.5000 0.5000 0.0000
P: 0.5000 0.5000 0.5000
P: 0.0000 0.5000 0.5000
Se: 0.5000 0.0000 0.0000
Se: 0.5000 0.0000 0.5000
Se: 0.0000 0.0000 0.0000
Se: 0.0000 0.0000 0.5000


No. 10
Material: Tb8As4PSe3
Method: DFT, PBE
State: relaxed

Output
total DFT energy (no corrections) = -6.1706 eV/atom
N(E_F) = 4.53 states/eV/cell

Cell: 8.2288 8.2198 8.2286 Å, 120.04 120.00 90.00°
Fractional coordinates of all 16 atoms:
Tb: 0.2470 0.7534 0.0064
Tb: 0.2471 0.7535 0.4942
Tb: 0.2463 0.2391 0.4927
Tb: 0.7593 0.7534 0.0064
Tb: 0.2407 0.2466 0.9936
Tb: 0.7537 0.7609 0.5073
Tb: 0.7529 0.2465 0.5058
Tb: 0.7530 0.2466 0.9936
As: 0.5000 0.0000 0.0000
As: 0.5000 0.0000 0.5000
As: 0.0000 0.0000 0.0000
As: 0.0000 0.0000 0.5000
P: 0.0000 0.5000 0.0000
Se: 0.5000 0.5000 0.0000
Se: 0.5000 0.5000 0.5000
Se: 0.0000 0.5000 0.5000